[1]
## Rb2MoWO6 (PBE with a Hubbard U)

Data for crystalline Rb2MoWO6 at its relaxed geometry.

Cell lengths 5.553, 5.553, 6.855 Å; angles 66.16, 66.16, 90.12 degrees
Positions (direct):
1 O 0.747 0.253 0.000
2 O 0.257 0.257 0.000
3 O 0.834 0.834 0.333
4 O 0.253 0.747 0.000
5 O 0.743 0.743 0.000
6 O 0.166 0.166 0.667
7 Rb 0.250 0.750 0.500
8 Rb 0.750 0.250 0.500
9 W 0.000 0.000 0.000
10 Mo 0.500 0.500 0.000

## Properties
* density: 5.24 g/cm3

***

[2]
## RbMoW2O8 (PBE with a Hubbard U)

Data for crystalline RbMoW2O8 at its relaxed geometry.

Cell lengths 5.966, 5.966, 7.783 Å; angles 90.00, 90.00, 120.00 degrees
Each line ends with the local moment (μB).
Positions (direct):
1 O 0.330 0.166 0.337  -0.01
2 O 0.835 0.670 0.337  -0.01
3 O 0.667 0.333 0.036  0.01
4 O 0.670 0.834 0.663  -0.01
5 O 0.166 0.835 0.663  -0.01
6 O 0.834 0.165 0.337  -0.01
7 O 0.333 0.667 0.964  0.01
8 O 0.165 0.330 0.663  -0.01
9 W 0.667 0.333 0.264  0.08
10 W 0.333 0.667 0.736  0.08
11 Mo 0.000 0.000 0.500  2.68
12 Rb 0.000 0.000 0.000  0.00

## Properties
* density: 4.69 g/cm3

***

[3]
## Rb4Y3MoO8 (PBE with a Hubbard U)

Data for crystalline Rb4Y3MoO8 at its relaxed geometry.

Cell lengths 6.949, 7.657, 6.949 Å; angles 116.98, 120.00, 90.00 degrees
Each line ends with the local moment (μB).
Positions (direct):
1 Y 0.500 0.500 0.500  0.00
2 Y 0.500 0.500 0.000  0.00
3 Y 0.000 0.500 0.500  0.00
4 O 0.221 0.675 0.443  0.01
5 O 0.221 0.675 0.954  0.01
6 O 0.779 0.325 0.046  0.01
7 O 0.732 0.675 0.954  0.01
8 O 0.779 0.325 0.557  0.01
9 O 0.726 0.677 0.451  0.00
10 O 0.274 0.323 0.549  0.00
11 O 0.268 0.325 0.046  0.01
12 Mo 0.000 0.500 0.000  2.71
13 Rb 0.000 0.000 0.500  0.00
14 Rb 0.500 0.000 0.500  0.00
15 Rb 0.000 0.000 0.000  0.00
16 Rb 0.500 0.000 0.000  0.00

## Properties
* density: 5.07 g/cm3

***

[4]
## RbYMo2O8 (PBE with a Hubbard U)

Data for crystalline RbYMo2O8 at its relaxed geometry.

Cell lengths 7.557, 7.557, 7.806 Å; angles 61.84, 61.84, 88.02 degrees
Positions (direct):
1 O 0.389 0.234 0.434
2 O 0.949 0.787 0.200
3 O 0.787 0.949 0.700
4 O 0.611 0.766 0.566
5 O 0.932 0.622 0.623
6 O 0.766 0.611 0.066
7 O 0.370 0.587 0.466
8 O 0.234 0.389 0.934
9 O 0.630 0.413 0.534
10 O 0.068 0.378 0.377
11 O 0.051 0.213 0.800
12 O 0.213 0.051 0.300
13 O 0.587 0.370 0.966
14 O 0.378 0.068 0.877
15 O 0.413 0.630 0.034
16 O 0.622 0.932 0.123
17 Mo 0.305 0.307 0.735
18 Mo 0.695 0.693 0.265
19 Mo 0.307 0.305 0.235
20 Mo 0.693 0.695 0.765
21 Rb 0.805 0.195 0.250
22 Rb 0.195 0.805 0.750
23 Y 0.772 0.228 0.750
24 Y 0.228 0.772 0.250

## Properties
* density: 4.88 g/cm3

***

[5]
## Rb2YMoO6 (PBE with a Hubbard U)

Data for crystalline Rb2YMoO6 at its relaxed geometry.

Cell lengths 5.874, 6.562, 6.562 Å; angles 120.00, 90.00, 90.00 degrees
Each line ends with the local moment (μB).
Positions (direct):
1 O 0.207 0.269 0.134  0.17
2 O 0.793 0.134 0.269  0.17
3 O 0.793 0.731 0.866  0.17
4 O 0.207 0.866 0.134  0.17
5 O 0.793 0.134 0.866  0.17
6 O 0.207 0.866 0.731  0.17
7 Y 0.500 0.000 0.000  -0.02
8 Mo 0.000 0.000 0.000  -0.14
9 Rb 0.895 0.667 0.333  0.00
10 Rb 0.105 0.333 0.667  0.00

## Properties
* density: 3.42 g/cm3

***

[6]
## RbYMoO5 (PBE with a Hubbard U)

Data for crystalline RbYMoO5 at its relaxed geometry.

Cell lengths 6.517, 6.517, 8.186 Å; angles 104.59, 104.59, 105.86 degrees
Positions (direct):
1 Mo 0.314 0.686 0.750
2 Mo 0.686 0.314 0.250
3 O 0.768 0.601 0.397
4 O 0.297 0.870 0.620
5 O 0.232 0.399 0.603
6 O 0.870 0.297 0.120
7 O 0.399 0.232 0.103
8 O 0.130 0.703 0.880
9 O 0.938 0.062 0.750
10 O 0.601 0.768 0.897
11 O 0.703 0.130 0.380
12 O 0.062 0.938 0.250
13 Y 0.000 0.000 0.000
14 Y 0.000 0.000 0.500
15 Rb 0.679 0.321 0.750
16 Rb 0.321 0.679 0.250

## Properties
* density: 3.83 g/cm3

***

[7]
## RbYbMo2O8 (PBE with a Hubbard U)

Data for crystalline RbYbMo2O8 at its relaxed geometry.

Cell lengths 7.594, 7.594, 7.788 Å; angles 61.79, 61.79, 87.93 degrees
Each line ends with the local moment (μB).
Positions (direct):
1 O 0.050 0.217 0.300  -0.05
2 O 0.387 0.235 0.936  -0.02
3 O 0.235 0.387 0.436  -0.02
4 O 0.587 0.371 0.465  -0.08
5 O 0.765 0.613 0.564  -0.02
6 O 0.629 0.413 0.035  -0.08
7 O 0.613 0.765 0.064  -0.02
8 O 0.783 0.950 0.200  -0.05
9 O 0.067 0.374 0.875  -0.08
10 O 0.371 0.587 0.965  -0.08
11 O 0.950 0.783 0.700  -0.05
12 O 0.413 0.629 0.535  -0.08
13 O 0.626 0.933 0.625  -0.08
14 O 0.933 0.626 0.125  -0.08
15 O 0.374 0.067 0.375  -0.08
16 O 0.217 0.050 0.800  -0.05
17 Rb 0.804 0.196 0.750  0.00
18 Rb 0.196 0.804 0.250  0.00
19 Mo 0.307 0.304 0.735  0.04
20 Mo 0.693 0.696 0.265  0.04
21 Mo 0.696 0.693 0.765  0.04
22 Mo 0.304 0.307 0.235  0.04
23 Yb 0.772 0.228 0.250  -0.63
24 Yb 0.228 0.772 0.750  -0.63

## Properties
* density: 5.68 g/cm3

***

[8]
## Rb3Zn3Mo4O16 (PBE with a Hubbard U)

Data for crystalline Rb3Zn3Mo4O16 at its relaxed geometry.

Cell lengths 10.602, 10.602, 10.602 Å; angles 109.47, 109.47, 109.47 degrees
Each line ends with the local moment (μB).
Positions (direct):
1 Rb 0.250 0.375 0.125  0.00
2 Rb 0.375 0.625 0.750  0.00
3 Rb 0.625 0.250 0.875  0.00
4 Rb 0.875 0.750 0.625  0.00
5 Rb 0.125 0.875 0.250  0.00
6 Rb 0.750 0.125 0.375  0.00
7 O 0.431 0.198 0.068  -0.01
8 O 0.877 0.877 0.377  -0.02
9 O 0.698 0.931 0.568  -0.01
10 O 0.198 0.568 0.931  -0.01
11 O 0.802 0.370 0.232  -0.01
12 O 0.130 0.432 0.363  -0.01
13 O 0.432 0.863 0.630  -0.01
14 O 0.268 0.069 0.637  -0.01
15 O 0.870 0.302 0.732  -0.01
16 O 0.500 0.123 0.500  -0.02
17 O 0.377 0.377 0.877  -0.02
18 O 0.637 0.569 0.268  -0.01
19 O 0.123 0.000 0.000  -0.02
20 O 0.302 0.232 0.370  -0.01
21 O 0.137 0.268 0.569  -0.01
22 O 0.363 0.932 0.130  -0.01
23 O 0.569 0.768 0.137  -0.01
24 O 0.500 0.623 0.500  -0.02
25 O 0.768 0.637 0.069  -0.01
26 O 0.000 0.500 0.123  -0.02
27 O 0.069 0.137 0.768  -0.01
28 O 0.931 0.068 0.198  -0.01
29 O 0.232 0.870 0.802  -0.01
30 O 0.630 0.363 0.432  -0.01
31 O 0.000 0.500 0.623  -0.02
32 O 0.568 0.431 0.698  -0.01
33 O 0.732 0.802 0.870  -0.01
34 O 0.370 0.732 0.302  -0.01
35 O 0.068 0.698 0.431  -0.01
36 O 0.863 0.130 0.932  -0.01
37 O 0.932 0.630 0.863  -0.01
38 O 0.623 0.000 0.000  -0.02
39 Zn 0.375 0.750 0.125  0.02
40 Zn 0.625 0.375 0.250  0.02
41 Zn 0.250 0.875 0.625  0.02
42 Zn 0.750 0.625 0.875  0.02
43 Zn 0.125 0.250 0.375  0.02
44 Zn 0.875 0.125 0.750  0.02
45 Mo 0.712 0.712 0.212  0.28
46 Mo 0.500 0.788 0.500  0.28
47 Mo 0.212 0.212 0.712  0.28
48 Mo 0.000 0.500 0.788  0.28
49 Mo 0.788 0.000 0.000  0.28
50 Mo 0.500 0.288 0.500  0.28
51 Mo 0.000 0.500 0.288  0.28
52 Mo 0.288 0.000 0.000  0.28

## Properties
* density: 3.95 g/cm3

***

Number 1: DFT total energy -63.277 eV/cell. Number 2: DFT total energy -85.473 eV/cell. Number 3: DFT total energy -108.134 eV/cell. Number 4: DFT total energy -174.041 eV/cell. Number 5: DFT total energy -64.001 eV/cell. Number 6: DFT total energy -115.022 eV/cell. Number 7: DFT total energy -159.691 eV/cell. Number 8: DFT total energy -313.666 eV/cell.